# 1
Material: NdTeC
Method: DFT, PBE
State: optimized geometry

Lattice parameters (Å, degrees): 4.143 6.565 7.850 128.60 90.00 108.39
Fractional positions:
Te 0.696 0.393 0.694
Te 0.304 0.607 0.306
C 0.513 0.025 0.935
C 0.487 0.975 0.065
Nd 0.991 0.981 0.253
Nd 0.009 0.019 0.747

The calculation puts the uncorrected formation energy at -13.30 kcal/mol of atoms.

# 2
Material: LaTaW2
Method: DFT, PBE
State: optimized geometry

Lattice parameters (Å, degrees): 3.202 4.910 4.887 90.00 90.00 90.00
Fractional positions:
Ta 0.000 0.500 0.500
La 0.500 0.000 0.500
W 0.000 0.000 0.000
W 0.500 0.500 0.000

Its energy above the most stable polymorph in this dataset is 0.382 eV/atom.